A geometry-optimized Ba2V3O7 structure. Source: the Alexandria database, functional PBE with a Hubbard U.

Geometry as CIF:
```
data_Ba2V3O7
_symmetry_space_group_name_H-M 'A m m 2'
_symmetry_Int_Tables_number 38
_cell_length_a 3.877
_cell_length_b 20.521
_cell_length_c 4.251
_cell_angle_alpha 90.00
_cell_angle_beta 90.00
_cell_angle_gamma 90.00
loop_
_symmetry_equiv_pos_as_xyz
'x,y,z'
'-x,-y,z'
'-x,y,z'
'x,-y,z'
'x,y+1/2,z+1/2'
'-x,-y+1/2,z+1/2'
'-x,y+1/2,z+1/2'
'x,-y+1/2,z+1/2'
loop_
_atom_site_label
_atom_site_type_symbol
_atom_site_fract_x
_atom_site_fract_y
_atom_site_fract_z
Ba1 Ba 0.000 0.111 0.000
V1 V 0.500 0.000 0.535
V2 V 0.500 0.199 0.495
O1 O 0.000 0.000 0.636
O2 O 0.000 0.190 0.503
O3 O 0.500 0.092 0.488
O4 O 0.500 0.206 0.001
```

Computed properties:
Its spin magnetization is 5.0 μB per formula unit. As for the volume: 338 Å³/cell. The calculated total energy is -7.26 eV/atom.